{
  "formula": "CuNiP",
  "functional": "GGA-PBE",
  "state": "optimized geometry",
  "n_ef_per_ev_atom": 0.52,
  "space_group": "P-6m2 (187)",
  "e_form_kj_per_mol_atoms": -10,
  "final_energy_ev_per_atom": -5.2024,
  "lattice": [[3.830, 0.000, 0.000], [-1.915, 3.317, 0.000], [0.000, 0.000, 2.869]],
  "species": ["Cu", "Ni", "P"],
  "fractional_positions": [[0.000, 0.000, 0.000], [0.667, 0.333, 0.500], [0.333, 0.667, 0.500]]
}